Below is a relaxed structure of GeBWO2, with properties calculated at the PBE with a Hubbard U level.

Geometry as POSCAR:
```
GeBWO2
1.0
3.785 0.000 0.000
0.000 3.785 0.000
0.000 0.000 5.490
Ge B W O
1 1 1 2
Direct
0.000 0.000 0.000
0.500 0.500 0.000
0.000 0.000 0.500
0.000 0.500 0.500
0.500 0.000 0.500
```

Computed properties:
The calculation puts the density of states at the Fermi level at 1.8 states/eV/f.u. The calculation puts the calculated volume at 15.7 A^3/atom. The final energy is -5.7940 eV/atom.